Entry from the Alexandria database: a relaxed structure of Re2AgIr (PBE).

Geometry as POSCAR:
```
Re2AgIr
1.0
-2.295 2.627 3.445
-2.956 -0.023 3.912
3.263 -0.197 3.501
Ag Re Ir
1 2 1
Direct
0.750 0.750 0.750 Ag
0.989 0.989 0.013 Re
0.511 0.511 0.487 Re
0.250 0.250 0.250 Ir
```

ΔE to the lowest computed polymorph   0.195 eV per atom
DFT formation energy   0.38 eV per atom
Total magnetization   0.00 μB per formula unit
Crystal system   monoclinic